Record 1
Entry from Alexandria: an optimized crystal structure of CeMgAs (PBE-GGA).

POSCAR file:
```
CeMgAs
1.0
-2.685 -1.267 -2.940
-3.871 -1.156 1.065
-5.024 7.706 -1.701
Mg As Ce
2 2 2
Cartesian
-9.090 5.176 -2.835
-2.490 0.107 -0.740
-4.955 0.136 -1.471
-6.626 5.147 -2.104
-3.850 4.185 -1.256
-7.730 1.098 -2.319
```

Properties
Energy of formation from the pure elements (eV per atom): -0.570

Record 2
Entry from Alexandria: an optimized crystal structure of ScCo2Pt (PBE-GGA).

POSCAR file:
```
ScCo2Pt
1.0
-1.096 0.021 -3.345
-2.043 -1.938 0.657
-5.634 2.297 1.860
Co Pt Sc
2 1 1
Cartesian
-2.344 -0.036 -1.084
-2.187 -1.774 0.705
-3.796 0.133 1.244
-6.326 0.300 0.222
```

Properties
Energy of formation from the pure elements (eV per atom): -0.346

Record 3
Entry from Alexandria: an optimized crystal structure of Si2TeRu2 (PBE-GGA).

POSCAR file:
```
Si2TeRu2
1.0
4.277 0.000 0.000
0.000 4.277 0.000
2.138 2.138 4.551
Si Ru Te
2 2 1
Cartesian
2.138 2.138 1.168
4.277 4.277 3.383
4.277 2.138 2.275
2.138 4.277 2.275
0.000 0.000 0.000
```

Properties
Raw formation energy (eV/f.u.): -0.8

Record 4
Entry from Alexandria: an optimized crystal structure of Tb6Pm5Er (PBE-GGA).

POSCAR file:
```
Tb6Pm5Er
1.0
4.878 0.018 -1.424
-1.389 8.921 -4.647
0.116 -0.828 9.471
Tb Pm Er
6 5 1
Cartesian
3.332 4.679 2.418
4.029 0.201 4.750
2.210 1.398 7.604
0.273 3.432 0.982
1.395 6.714 -4.204
-0.424 7.910 -1.350
3.054 1.215 1.419
1.240 2.427 4.289
0.551 6.896 1.981
2.365 5.684 -0.889
-0.694 4.460 -2.323
0.000 0.000 0.000
```

Properties
Energy of formation from the pure elements (eV per atom): 0.017

Record 5
Entry from Alexandria: an optimized crystal structure of Ca3GeP2Rh9 (PBE-GGA).

POSCAR file:
```
Ca3GeP2Rh9
1.0
6.322 0.000 0.000
-3.161 5.475 0.000
0.000 0.000 7.908
Ge Rh Ca P
1 9 3 2
Cartesian
0.000 0.000 3.954
3.161 3.628 5.396
-1.581 2.738 0.000
4.723 0.923 5.396
1.600 0.923 5.396
0.000 1.847 2.512
1.562 4.552 2.512
1.581 2.738 0.000
-1.562 4.552 2.512
3.161 0.000 0.000
3.161 1.825 2.694
0.000 0.000 0.000
0.000 3.650 5.215
0.000 3.650 1.272
3.161 1.825 6.637
```

Properties
Energy of formation from the pure elements (eV per atom): -0.456

Record 6
Entry from Alexandria: an optimized crystal structure of KCdPb2 (PBE-GGA).

POSCAR file:
```
KCdPb2
1.0
-1.126 -3.189 1.492
1.355 -2.200 -3.678
7.241 -1.022 3.279
Pb Cd K
2 1 1
Cartesian
0.319 -0.045 0.144
1.953 -2.954 -0.260
3.337 -0.471 1.511
5.482 -3.452 1.338
```

Properties
Energy of formation from the pure elements (eV per atom): -0.052

Across the entries above, density takes the values 5.82 10.28 7.70 7.79 7.16 7.06 g cm⁻³, respectively.